PrEuCuS3 | the Alexandria database | GGA-PBE | optimized geometry; uncorrected formation energy = -1.6496 eV/atom; theoretical density = 5.8 g cm⁻³
1.0
-1.2951 -0.7995 3.7552
10.3906 -2.5168 3.0478
1.7914 10.9732 2.9540
Cu S Pr Eu
4 12 4 4
direct
0.7500 0.2570 0.2152
0.2500 0.2430 0.7152
0.7500 0.7570 0.2848
0.2500 0.7430 0.7848
0.7500 0.1182 0.0582
0.7500 0.4496 0.1372
0.7500 0.9496 0.3628
0.7500 0.6182 0.4418
0.2500 0.8818 0.9418
0.2500 0.2212 0.3088
0.7500 0.7788 0.6912
0.2500 0.5504 0.8628
0.7500 0.2788 0.8088
0.2500 0.0504 0.6372
0.2500 0.3818 0.5582
0.2500 0.7212 0.1912
0.7500 0.5132 0.6830
0.2500 0.4868 0.3170
0.2500 0.9868 0.1830
0.7500 0.0132 0.8170
0.2500 0.3181 0.9942
0.2500 0.8181 0.5058
0.7500 0.1819 0.4942
0.7500 0.6819 0.0058